{
  "formula": "LaAu2Br",
  "functional": "PBE",
  "state": "optimized geometry",
  "crystal_system": "orthorhombic",
  "e_form_raw_ev_per_atom": -0.802,
  "rho_g_cm3": 9.2,
  "lattice": [[5.7607, 0.0000, 0.0000], [0.0000, 8.9111, 0.0000], [0.0000, 0.0000, 4.3009]],
  "species": ["La", "La", "Au", "Au", "Au", "Au", "Br", "Br"],
  "fractional_positions": [[0.0000, 0.0000, 0.0000], [0.5000, 0.5000, 0.0000], [0.0000, 0.2417, 0.5000], [0.0000, 0.7583, 0.5000], [0.5000, 0.2583, 0.5000], [0.5000, 0.7417, 0.5000], [0.0000, 0.5000, 0.0000], [0.5000, 0.0000, 0.0000]]
}

=====

{
  "formula": "LaAu3Br",
  "functional": "PBE",
  "state": "optimized geometry",
  "crystal_system": "cubic",
  "e_form_raw_ev_per_atom": 0.351,
  "rho_g_cm3": 7.1,
  "lattice": [[5.7320, 0.0000, 0.0000], [0.0000, 5.7320, 0.0000], [0.0000, 0.0000, 5.7320]],
  "species": ["La", "Au", "Au", "Au", "Br"],
  "fractional_positions": [[0.0000, 0.0000, 0.0000], [0.0000, 0.0000, 0.5000], [0.0000, 0.5000, 0.0000], [0.5000, 0.0000, 0.0000], [0.5000, 0.5000, 0.5000]]
}

=====

{
  "formula": "LaAu2Br",
  "functional": "PBE",
  "state": "optimized geometry",
  "crystal_system": "monoclinic",
  "e_form_raw_ev_per_atom": -0.681,
  "rho_g_cm3": 10.2,
  "lattice": [[5.7701, 0.0000, 0.0000], [0.0000, 11.6669, 0.0000], [-2.8688, 0.0000, 2.9776]],
  "species": ["La", "La", "Au", "Au", "Au", "Au", "Br", "Br"],
  "fractional_positions": [[0.0000, 0.0000, 0.0000], [0.5000, 0.5000, 0.0000], [0.2500, 0.2500, 0.5000], [0.2500, 0.7500, 0.5000], [0.7500, 0.2500, 0.5000], [0.7500, 0.7500, 0.5000], [0.0000, 0.5000, 0.0000], [0.5000, 0.0000, 0.0000]]
}

=====

{
  "formula": "La3AuBr3",
  "functional": "PBE",
  "state": "optimized geometry",
  "crystal_system": "cubic",
  "e_form_raw_ev_per_atom": -1.395,
  "rho_g_cm3": 5.9,
  "lattice": [[-6.2087, 6.2087, 6.2087], [6.2087, -6.2087, 6.2087], [6.2087, 6.2087, -6.2087]],
  "species": ["La", "La", "La", "La", "La", "La", "La", "La", "La", "La", "La", "La", "Au", "Au", "Au", "Au", "Br", "Br", "Br", "Br", "Br", "Br", "Br", "Br", "Br", "Br", "Br", "Br"],
  "fractional_positions": [[0.0084, 0.0167, 0.2584], [0.0084, 0.4916, 0.7500], [0.0167, 0.2584, 0.0084], [0.2416, 0.2584, 0.7500], [0.2416, 0.4833, 0.4916], [0.2584, 0.0084, 0.0167], [0.2584, 0.7500, 0.2416], [0.4833, 0.4916, 0.2416], [0.4916, 0.2416, 0.4833], [0.4916, 0.7500, 0.0084], [0.7500, 0.0084, 0.4916], [0.7500, 0.2416, 0.2584], [0.0000, 0.2500, 0.5000], [0.2500, 0.2500, 0.2500], [0.2500, 0.5000, 0.0000], [0.5000, 0.0000, 0.2500], [0.2500, 0.7545, 0.7455], [0.2500, 0.9955, 0.5045], [0.5045, 0.2500, 0.9955], [0.5045, 0.7545, 0.5091], [0.5091, 0.5045, 0.7545], [0.7455, 0.2500, 0.7545], [0.7455, 0.9955, 0.9909], [0.7545, 0.5091, 0.5045], [0.7545, 0.7455, 0.2500], [0.9909, 0.7455, 0.9955], [0.9955, 0.5045, 0.2500], [0.9955, 0.9909, 0.7455]]
}

=====

{
  "formula": "La6AuBr8",
  "functional": "PBE",
  "state": "optimized geometry",
  "crystal_system": "trigonal",
  "e_form_raw_ev_per_atom": -1.537,
  "rho_g_cm3": 5.3,
  "lattice": [[3.7219, 2.1488, 10.8643], [-3.7219, 2.1488, 10.8643], [0.0000, -4.2976, 10.8643]],
  "species": ["La", "La", "La", "La", "La", "La", "Au", "Br", "Br", "Br", "Br", "Br", "Br", "Br", "Br"],
  "fractional_positions": [[0.0543, 0.3820, 0.7267], [0.2733, 0.9457, 0.6180], [0.3820, 0.7267, 0.0543], [0.6180, 0.2733, 0.9457], [0.7267, 0.0543, 0.3820], [0.9457, 0.6180, 0.2733], [0.0000, 0.0000, 0.0000], [0.1105, 0.7778, 0.4431], [0.2222, 0.5569, 0.8895], [0.3333, 0.3333, 0.3333], [0.4431, 0.1105, 0.7778], [0.5569, 0.8895, 0.2222], [0.6667, 0.6667, 0.6667], [0.7778, 0.4431, 0.1105], [0.8895, 0.2222, 0.5569]]
}

=====

{
  "formula": "La2AuBr",
  "functional": "PBE",
  "state": "optimized geometry",
  "crystal_system": "trigonal",
  "e_form_raw_ev_per_atom": -1.048,
  "rho_g_cm3": 7.5,
  "lattice": [[4.4160, 0.0000, 0.0000], [-2.2080, 3.8243, 0.0000], [0.0000, 0.0000, 21.8014]],
  "species": ["La", "La", "La", "La", "La", "La", "Au", "Au", "Au", "Br", "Br", "Br"],
  "fractional_positions": [[0.0000, 0.0000, 0.2451], [0.0000, 0.0000, 0.7549], [0.3333, 0.6667, 0.4216], [0.3333, 0.6667, 0.9117], [0.6667, 0.3333, 0.0883], [0.6667, 0.3333, 0.5784], [0.0000, 0.0000, 0.5000], [0.3333, 0.6667, 0.1667], [0.6667, 0.3333, 0.8333], [0.0000, 0.0000, 0.0000], [0.3333, 0.6667, 0.6667], [0.6667, 0.3333, 0.3333]]
}